# 1
## TlOsCl6 (PBE)

Data for TlOsCl6 after structural relaxation.

POSCAR file:
```
TlOsCl6
1.0
4.0250 -5.2159 0.0000
4.0250 5.2159 0.0000
-2.5467 0.0000 5.9847
Tl Os Cl
1 1 6
direct
0.0000 0.0000 0.0000 Tl
0.5000 0.5000 0.5000 Os
0.2290 0.2290 0.5484 Cl
0.2289 0.5425 0.2273 Cl
0.4575 0.7711 0.7727 Cl
0.5425 0.2289 0.2273 Cl
0.7711 0.4575 0.7727 Cl
0.7710 0.7710 0.4516 Cl
```

Computed properties:
As for the space-group type: C2/m. The energy above the most stable polymorph in this dataset is 0.0000 eV/atom. The value obtained for the volume is 251 Å³/cell. The value obtained for the total magnetization is 0.38 μB/atom.

# 2
## Na2PtF (PBE)

Data for Na2PtF after structural relaxation.

POSCAR file:
```
Na2PtF
1.0
0.0000 3.3875 3.3875
3.3875 0.0000 3.3875
3.3875 3.3875 0.0000
Na Pt F
2 1 1
direct
0.2500 0.2500 0.2500 Na
0.7500 0.7500 0.7500 Na
0.0000 0.0000 0.0000 Pt
0.5000 0.5000 0.5000 F
```

Computed properties:
As for the space-group type: Fm-3m. The density of states at the Fermi level comes out at 9.69 states/eV/cell. The energy above the most stable polymorph in this dataset is 0.3539 eV/atom. The value obtained for the volume is 78 Å³/cell. The value obtained for the total magnetization is 0.25 μB/atom.

# 3
## Er8SbTe4P3 (PBE)

Data for Er8SbTe4P3 after structural relaxation.

POSCAR file:
```
Er8SbTe4P3
1.0
4.1528 2.3976 7.0159
-4.1528 2.3976 7.0159
0.0000 -4.7952 7.0159
Er Sb Te P
8 1 4 3
direct
0.2209 0.7475 0.7475 Er
0.2361 0.2361 0.2361 Er
0.2525 0.2525 0.7791 Er
0.2525 0.7791 0.2525 Er
0.7475 0.2209 0.7475 Er
0.7475 0.7475 0.2209 Er
0.7639 0.7639 0.7639 Er
0.7791 0.2525 0.2525 Er
0.5000 0.5000 0.5000 Sb
0.0000 0.0000 0.0000 Te
0.0000 0.5000 0.5000 Te
0.5000 0.0000 0.5000 Te
0.5000 0.5000 0.0000 Te
0.0000 0.0000 0.5000 P
0.0000 0.5000 0.0000 P
0.5000 0.0000 0.0000 P
```

Computed properties:
As for the space-group type: R-3m. The density of states at the Fermi level comes out at 5.52 states/eV/cell. The calculation puts the energy at -92.22 eV for the cell shown. The value obtained for the volume is 419 Å³/cell. The value obtained for the total magnetization is 0.00 μB/atom.

# 4
## Ga3IrPt (PBE)

Data for Ga3IrPt after structural relaxation.

POSCAR file:
```
Ga3IrPt
1.0
2.9475 0.0000 0.0000
-1.4660 7.1867 0.0000
-1.4606 -1.6940 8.4474
Ga Ir Pt
6 2 2
direct
0.0559 0.1912 0.4230 Ga
0.1306 0.5246 0.2399 Ga
0.2033 0.8536 0.0536 Ga
0.7967 0.1464 0.9464 Ga
0.8694 0.4754 0.7601 Ga
0.9441 0.8088 0.5770 Ga
0.4643 0.2380 0.1925 Ir
0.5357 0.7620 0.8075 Ir
0.3567 0.8679 0.3455 Pt
0.6433 0.1321 0.6545 Pt
```

Computed properties:
As for the space-group type: P-1. The density of states at the Fermi level comes out at 2.82 states/eV/cell. Its formation energy is -0.42 eV/atom. The energy above the most stable polymorph in this dataset is 0.0000 eV/atom. The value obtained for the volume is 179 Å³/cell. The value obtained for the total magnetization is 0.00 μB/atom.

# 5
## CdCu3 (PBE)

Data for CdCu3 after structural relaxation.

POSCAR file:
```
CdCu3
1.0
2.7561 0.0000 0.0000
-1.3781 2.3869 0.0000
0.0000 0.0000 8.7806
Cd Cu
1 3
direct
0.0000 0.0000 0.0000 Cd
0.0000 0.0000 0.5000 Cu
0.3333 0.6667 0.2749 Cu
0.3333 0.6667 0.7251 Cu
```

Computed properties:
As for the space-group type: P-6m2. The density of states at the Fermi level comes out at 1.96 states/eV/cell. Its formation energy is 0.16 eV/atom. The value obtained for the volume is 58 Å³/cell. The value obtained for the total magnetization is 0.00 μB/atom.

# 6
## ReSn2Pd (PBE)

Data for ReSn2Pd after structural relaxation.

POSCAR file:
```
ReSn2Pd
1.0
1.5180 0.8764 9.8447
-1.5180 0.8764 9.8447
0.0000 -1.7529 9.8447
Re Sn Pd
1 2 1
direct
0.0000 0.0000 0.0000 Re
0.0922 0.0922 0.0922 Sn
0.9078 0.9078 0.9078 Sn
0.5000 0.5000 0.5000 Pd
```

Computed properties:
As for the space-group type: R-3m. The density of states at the Fermi level comes out at 3.62 states/eV/cell. Its formation energy is 0.49 eV/atom. The energy above the most stable polymorph in this dataset is 0.2512 eV/atom. The value obtained for the volume is 79 Å³/cell. The value obtained for the total magnetization is 0.01 μB/atom.

# 7
## Pm2TcAu (PBE)

Data for Pm2TcAu after structural relaxation.

POSCAR file:
```
Pm2TcAu
1.0
0.0000 3.5955 3.5955
3.5955 0.0000 3.5955
3.5955 3.5955 0.0000
Pm Tc Au
2 1 1
direct
0.2500 0.2500 0.2500 Pm
0.7500 0.7500 0.7500 Pm
0.0000 0.0000 0.0000 Tc
0.5000 0.5000 0.5000 Au
```

Computed properties:
As for the space-group type: Fm-3m. The density of states at the Fermi level comes out at 3.60 states/eV/cell. Its formation energy is -0.22 eV/atom. The energy above the most stable polymorph in this dataset is 0.0932 eV/atom. The value obtained for the volume is 93 Å³/cell. The value obtained for the total magnetization is 0.00 μB/atom.

# 8
## Pr2InGa3Cu4 (PBE)

Data for Pr2InGa3Cu4 after structural relaxation.

POSCAR file:
```
Pr2InGa3Cu4
1.0
4.3056 0.0000 0.0000
0.0000 4.3056 0.0000
0.0000 0.0000 10.2953
Pr In Ga Cu
2 1 3 4
direct
0.0000 0.5000 0.2349 Pr
0.5000 0.0000 0.7651 Pr
0.0000 0.0000 0.5000 In
0.0000 0.5000 0.8776 Ga
0.5000 0.0000 0.1224 Ga
0.5000 0.5000 0.5000 Ga
0.0000 0.0000 0.0000 Cu
0.0000 0.5000 0.6437 Cu
0.5000 0.0000 0.3563 Cu
0.5000 0.5000 0.0000 Cu
```

Computed properties:
As for the space-group type: P-4m2. The density of states at the Fermi level comes out at 5.66 states/eV/cell. Its formation energy is -0.40 eV/atom. The value obtained for the volume is 191 Å³/cell. The value obtained for the total magnetization is 0.00 μB/atom.

# 9
## Pu2H2O (PBE)

Data for Pu2H2O after structural relaxation.

POSCAR file:
```
Pu2H2O
1.0
8.2689 0.0000 0.0000
0.0000 5.7117 0.0000
0.0000 0.0000 5.7256
Pu H O
8 8 4
direct
0.0772 0.0638 0.2500 Pu
0.0772 0.4362 0.7500 Pu
0.3529 0.5179 0.2500 Pu
0.3529 0.9821 0.7500 Pu
0.6471 0.0179 0.2500 Pu
0.6471 0.4821 0.7500 Pu
0.9228 0.5638 0.2500 Pu
0.9228 0.9362 0.7500 Pu
0.2357 0.2500 0.0000 H
0.2357 0.2500 0.5000 H
0.4992 0.2500 0.0000 H
0.4992 0.2500 0.5000 H
0.5008 0.7500 0.0000 H
0.5008 0.7500 0.5000 H
0.7643 0.7500 0.0000 H
0.7643 0.7500 0.5000 H
0.1504 0.7500 0.0000 O
0.1504 0.7500 0.5000 O
0.8496 0.2500 0.0000 O
0.8496 0.2500 0.5000 O
```

Computed properties:
As for the space-group type: Pbcm. The density of states at the Fermi level comes out at 58.49 states/eV/cell. The calculation puts the energy at -182.73 eV for the cell shown. The value obtained for the volume is 270 Å³/cell. The value obtained for the total magnetization is 0.03 μB/atom.

# 10
## Al3ZnFe (PBE)

Data for Al3ZnFe after structural relaxation.

POSCAR file:
```
Al3ZnFe
1.0
4.4983 0.0000 0.0000
0.0000 4.4983 0.0000
0.0000 0.0000 4.4983
Al Zn Fe
3 1 1
direct
0.0000 0.0000 0.5000 Al
0.0000 0.5000 0.0000 Al
0.5000 0.0000 0.0000 Al
0.5000 0.5000 0.5000 Zn
0.0000 0.0000 0.0000 Fe
```

Computed properties:
As for the space-group type: Pm-3m. The density of states at the Fermi level comes out at 2.20 states/eV/cell. Its formation energy is 0.15 eV/atom. The energy above the most stable polymorph in this dataset is 0.0000 eV/atom. The value obtained for the volume is 91 Å³/cell. The value obtained for the total magnetization is 0.00 μB/atom.

# 11
## ZnAsH2 (PBE)

Data for ZnAsH2 after structural relaxation.

POSCAR file:
```
ZnAsH2
1.0
-2.4757 2.4757 3.8527
2.4757 -2.4757 3.8527
2.4757 2.4757 -3.8527
Zn As H
2 2 4
direct
0.0000 0.0000 0.0000 Zn
0.7500 0.2500 0.5000 Zn
0.2500 0.7500 0.5000 As
0.5000 0.5000 0.0000 As
0.0104 0.6250 0.8854 H
0.3750 0.2604 0.3854 H
0.7396 0.1250 0.1146 H
0.8750 0.9896 0.6146 H
```

Computed properties:
As for the space-group type: I-42d. The density of states at the Fermi level comes out at 2.22 states/eV/cell. The energy above the most stable polymorph in this dataset is 0.3886 eV/atom. The value obtained for the volume is 94 Å³/cell. The value obtained for the total magnetization is 0.00 μB/atom.

# 12
## Tl16GaHg12 (PBE)

Data for Tl16GaHg12 after structural relaxation.

POSCAR file:
```
Tl16GaHg12
1.0
5.9264 -8.5002 0.0000
5.9264 8.5002 0.0000
-5.8174 0.0000 8.3077
Tl Ga Hg
16 1 12
direct
0.0000 0.0000 0.0000 Tl
0.0029 0.0029 0.6369 Tl
0.0046 0.6106 0.9748 Tl
0.0057 0.3678 0.6426 Tl
0.3000 0.6781 0.3279 Tl
0.3235 0.9948 0.2400 Tl
0.3513 0.5881 0.6311 Tl
0.3678 0.0057 0.6426 Tl
0.4037 0.6990 0.0417 Tl
0.5881 0.3513 0.6311 Tl
0.6106 0.0046 0.9748 Tl
0.6265 0.6265 0.3086 Tl
0.6781 0.3000 0.3279 Tl
0.6911 0.6911 0.9589 Tl
0.6990 0.4037 0.0417 Tl
0.9948 0.3235 0.2400 Tl
0.3496 0.3496 0.2943 Ga
0.0088 0.8190 0.2914 Hg
0.0171 0.6335 0.4651 Hg
0.1611 0.3539 0.9983 Hg
0.1877 0.1877 0.4339 Hg
0.2109 0.8017 0.8299 Hg
0.3524 0.3524 0.8080 Hg
0.3539 0.1611 0.9983 Hg
0.6335 0.0171 0.4651 Hg
0.6557 0.8372 0.6630 Hg
0.8017 0.2109 0.8299 Hg
0.8190 0.0088 0.2914 Hg
0.8372 0.6557 0.6630 Hg
```

Computed properties:
As for the space-group type: Cm. The density of states at the Fermi level comes out at 9.29 states/eV/cell. Its formation energy is 0.00 eV/atom. The value obtained for the volume is 837 Å³/cell. The value obtained for the total magnetization is 0.00 μB/atom.